Zr2Al2Cu, relaxed, DFT GGA-PBE; E_form = -4.72 kcal/mol of atoms; excess energy over the best structure of this formula in the dataset = 1.06 eV per formula unit; total energy = -5.94 eV per atom; SG = Pbam, No. 55
1.0
3.013 0.000 0.000
0.000 6.242 0.000
0.000 0.000 9.840
Zr Al Cu
4 4 2
Direct
0.000 0.847 0.300 Zr
0.000 0.153 0.700 Zr
0.000 0.347 0.200 Zr
0.000 0.653 0.800 Zr
0.500 0.692 0.061 Al
0.500 0.308 0.939 Al
0.500 0.192 0.439 Al
0.500 0.808 0.561 Al
0.000 0.000 0.000 Cu
0.000 0.500 0.500 Cu